(1)
## SrBr5 (GGA-PBE)

Data for a relaxed structure of SrBr5.

```
6
Lattice="-6.8161 2.2622 6.7154 4.7074 -6.5655 -5.6042 3.7297 -0.7821 4.0491" Properties=species:S:1:pos:R:3 pbc="T T T"
Br -1.9858 -1.4381 1.5514
Br 0.0672 -1.9733 3.3748
Br -5.6194 1.3455 5.4361
Br -2.1665 -0.2622 5.7627
Br 0.5571 -3.3861 -1.1672
Sr 4.5747 -5.4264 -1.4442
```

- formation energy without anion corrections (meV per atom) = -855
- symmetry = Amm2 (38)
- energy above the lowest structure with this stoichiometry (eV per atom) = 0.093

---

(2)
## Cs2CuRhSe4 (GGA-PBE)

Data for a relaxed structure of Cs2CuRhSe4.

```
16
Lattice="-1.8278 4.4922 -3.8291 -4.0525 -2.5490 -6.0419 -11.5031 3.5300 4.6463" Properties=species:S:1:pos:R:3 pbc="T T T"
Cu -8.2348 1.6135 -1.6551
Cu -0.9139 2.2461 -1.9146
Se -15.2623 5.1050 -4.2389
Se -3.0579 2.6708 -2.9485
Se -8.1552 1.7686 -4.0667
Se -11.2697 4.2279 -4.5555
Se -9.2512 3.7610 -1.2061
Se -5.0460 -0.4580 -5.5449
Se -6.0907 1.1889 -0.6212
Se -11.4006 3.6287 2.2828
Rh 0.0000 0.0000 0.0000
Rh -9.1487 3.8597 -3.5697
Cs -5.6550 4.9563 -1.4579
Cs -7.6759 3.0660 2.2750
Cs -12.9759 4.3237 -1.1984
Cs -5.3215 3.3956 -5.9409
```

- formation energy without anion corrections (meV per atom) = -595
- symmetry = Fddd (70)

---

(3)
## GdBi (GGA-PBE)

Data for a relaxed structure of GdBi.

```
4
Lattice="-0.5352 4.0455 -1.1730 0.3497 -1.3053 -4.6612 -5.7486 -2.8720 0.3729" Properties=species:S:1:pos:R:3 pbc="T T T"
Bi -4.3580 -1.6325 -3.6596
Bi -1.5760 1.5008 -1.8018
Gd -1.1942 -1.1841 -3.5477
Gd -4.7398 1.0524 -1.9136
```

- energy relative to the elements (eV/atom) = -0.79
- symmetry = P2_1/m (11)
- energy above the lowest structure with this stoichiometry (eV per atom) = 0.110

---

(4)
## HgTeN2F (GGA-PBE)

Data for a relaxed structure of HgTeN2F.

```
5
Lattice="-0.4734 -2.0620 -4.3220 4.1253 -2.3810 0.6841 -2.1765 -3.2562 1.7919" Properties=species:S:1:pos:R:3 pbc="T T T"
N 2.0627 -1.1905 0.3421
N -0.2367 -1.0310 -2.1610
F 0.0000 0.0000 0.0000
Te -1.0882 -1.6281 0.8959
Hg 0.7377 -3.8495 -0.9230
```

- formation energy without anion corrections (meV per atom) = 1755
- symmetry = P4/mmm (123)
- energy above the lowest structure with this stoichiometry (eV per atom) = 0.982